V2CdNi2: optimized geometry, PBE.

Geometry as extended XYZ:
```
5
Lattice="-1.853 1.853 5.337 1.853 -1.853 5.337 1.853 1.853 -5.337" Properties=species:S:1:pos:R:3 pbc="T T T"
V 1.853 0.000 2.668
V 0.000 1.853 2.668
Cd 0.000 0.000 0.000
Ni 0.000 0.000 4.210
Ni 0.000 0.000 6.463
```

Output
**Uncorrected energy**: -5.98 eV/atom
**Symmetry**: I4/mmm, No. 139